# 1
The following is a DFT calculation (PBE) of an optimized crystal structure of LaPm6Tm12.

```
LaPm6Tm12
1.0
-1.937 -3.818 -8.167
6.337 -5.410 3.951
-7.635 -0.797 5.109
Pm Tm La
6 12 1
Cartesian
-4.757 -4.746 -0.962
-4.054 -3.439 2.316
-1.780 -4.644 -2.981
1.521 -5.279 1.854
0.818 -6.587 -1.424
-1.456 -5.382 3.873
-4.831 -4.394 -4.259
-7.043 -3.221 0.896
3.808 -6.804 -0.004
-2.604 -2.162 -0.626
-3.927 -6.776 1.791
0.595 -6.185 -4.709
-2.583 -7.488 -1.340
-0.632 -7.863 1.518
-0.653 -2.537 2.232
-3.830 -3.840 5.601
1.595 -5.631 5.151
0.691 -3.249 -0.899
0.000 0.000 0.000
```

## Properties
Crystal system: trigonal
Energy in Ha/atom: -0.15205
Magnetization in μB/atom: 0.000
SG: No. 166
Formation energy in eV/atom: 0.446

=====

# 2
The following is a DFT calculation (PBE) of an optimized crystal structure of La12Pm2Tm5.

```
La12Pm2Tm5
1.0
-11.018 4.253 -0.441
3.557 -6.728 4.617
0.510 2.281 9.249
La Tm Pm
12 5 2
Cartesian
-8.282 3.551 6.078
-0.338 -0.710 1.605
-6.612 0.516 11.820
-4.007 -1.685 7.133
-5.639 2.065 2.426
-3.634 -0.433 3.508
1.919 -1.782 10.126
-1.312 -2.259 10.999
-8.870 1.588 3.299
-3.317 0.239 9.917
1.331 -3.745 7.347
-2.944 1.490 6.292
-5.890 2.054 8.606
-6.422 0.366 5.614
0.255 1.140 4.624
-1.061 -2.248 4.819
-0.529 -0.560 7.811
-7.848 3.029 -0.314
-3.170 1.223 -0.127
```

## Properties
Crystal system: monoclinic
Energy in Ha/atom: -0.17218
Magnetization in μB/atom: 0.000
SG: No. 12
Formation energy in eV/atom: 0.104